(1)
Computed, not measured: a relaxed structure of Re2IrC at the PBE level of DFT.

Cell lengths 4.984, 4.984, 6.340 Å; angles 66.85, 66.85, 90.00 degrees
Positions (direct):
1 C 0.250 0.750 0.500
2 Re 0.547 0.125 0.250
3 C 0.500 0.500 0.000
4 Re 0.203 0.625 0.250
5 Ir 0.750 0.250 0.500
6 Re 0.375 0.453 0.750
7 Ir 0.000 0.000 0.000
8 Re 0.875 0.797 0.750

Computed properties:
The symmetry is I-42d, No. 122. The calculation puts the formation energy at 0.832 eV/atom.



(2)
Computed, not measured: a relaxed structure of MnVCr3 at the PBE level of DFT.

Cell lengths 4.123, 7.735, 7.735 Å; angles 96.18, 93.66, 93.66 degrees
Positions (direct):
1 Mn 0.833 0.340 0.455
2 Mn 0.167 0.660 0.545
3 Cr 0.812 0.563 0.237
4 Mn 0.333 0.455 0.340
5 V 0.750 0.207 0.793
6 Cr 0.688 0.763 0.437
7 Cr 0.188 0.437 0.763
8 Mn 0.667 0.545 0.660
9 Cr 0.231 0.955 0.584
10 Cr 0.720 0.862 0.740
11 Cr 0.731 0.584 0.955
12 Cr 0.280 0.138 0.260
13 V 0.250 0.071 0.929
14 Cr 0.780 0.260 0.138
15 V 0.750 0.929 0.071
16 Cr 0.312 0.237 0.563
17 V 0.250 0.793 0.207
18 Cr 0.769 0.045 0.416
19 Cr 0.269 0.416 0.045
20 Cr 0.220 0.740 0.862

Computed properties:
The symmetry is C2/c, No. 15. The calculation puts the formation energy at 0.223 eV/atom. The value obtained for the offset from the most stable computed form is 0 meV per atom.



(3)
Computed, not measured: a relaxed structure of La12Tl3N5 at the PBE level of DFT.

Cell lengths 14.388, 14.388, 14.388 Å; angles 109.47, 109.47, 109.47 degrees
Positions (direct):
1 La 0.912 0.814 0.805
2 Tl 0.375 0.625 0.250
3 N 0.750 0.625 0.375
4 La 0.991 0.598 0.186
5 N 0.000 0.500 0.500
6 La 0.393 0.991 0.805
7 La 0.491 0.805 0.893
8 La 0.088 0.186 0.195
9 N 0.750 0.125 0.875
10 La 0.402 0.009 0.314
11 La 0.902 0.088 0.893
12 La 0.098 0.186 0.491
13 La 0.607 0.598 0.912
14 N 0.000 0.000 0.000
15 La 0.107 0.695 0.509
16 La 0.186 0.088 0.695
17 La 0.598 0.991 0.686
18 La 0.195 0.686 0.088
19 Tl 0.125 0.875 0.750
20 N 0.625 0.875 0.250
21 La 0.402 0.393 0.588
22 La 0.509 0.314 0.902
23 La 0.491 0.686 0.098
24 La 0.805 0.314 0.912
25 La 0.588 0.695 0.686
26 La 0.412 0.305 0.314
27 La 0.695 0.107 0.009
28 La 0.686 0.195 0.588
29 La 0.598 0.607 0.412
30 La 0.314 0.509 0.402
31 N 0.000 0.000 0.500
32 N 0.875 0.625 0.750
33 La 0.509 0.195 0.107
34 La 0.412 0.107 0.598
35 La 0.893 0.588 0.902
36 La 0.902 0.814 0.509
37 La 0.009 0.607 0.695
38 N 0.500 0.500 0.000
39 La 0.607 0.009 0.195
40 La 0.814 0.912 0.305
41 Tl 0.375 0.750 0.625
42 Tl 0.875 0.125 0.250
43 N 0.500 0.000 0.500
44 La 0.893 0.305 0.491
45 Tl 0.125 0.250 0.875
46 La 0.314 0.805 0.412
47 La 0.686 0.491 0.598
48 La 0.912 0.098 0.607
49 Tl 0.875 0.750 0.125
50 Tl 0.750 0.875 0.625
51 La 0.393 0.402 0.088
52 Tl 0.250 0.125 0.375
53 La 0.805 0.491 0.393
54 La 0.991 0.393 0.305
55 La 0.098 0.912 0.107
56 La 0.305 0.893 0.991
57 N 0.125 0.375 0.250
58 N 0.500 0.000 0.000
59 N 0.250 0.375 0.625
60 La 0.195 0.509 0.607
61 La 0.009 0.402 0.814
62 N 0.875 0.250 0.625
63 La 0.186 0.098 0.991
64 La 0.695 0.588 0.186
65 La 0.107 0.412 0.098
66 La 0.088 0.902 0.393
67 N 0.625 0.750 0.875
68 La 0.305 0.412 0.814
69 La 0.588 0.893 0.402
70 Tl 0.250 0.625 0.875
71 N 0.375 0.250 0.125
72 N 0.000 0.500 0.000
73 N 0.125 0.750 0.375
74 N 0.500 0.500 0.500
75 Tl 0.625 0.375 0.750
76 N 0.250 0.875 0.125
77 Tl 0.750 0.375 0.125
78 La 0.814 0.902 0.009
79 N 0.375 0.125 0.750
80 Tl 0.625 0.250 0.375

Computed properties:
The symmetry is Ia-3d, No. 230. For the uncorrected formation energy, the calculation gives -757 meV/atom.



(4)
Computed, not measured: a relaxed structure of Ce5Tm2Pb5 at the PBE level of DFT.

Cell lengths 4.397, 7.923, 12.659 Å; angles 117.80, 90.00, 106.11 degrees
Each line ends with the local moment (μB).
Positions (direct):
1 Ce 0.668 0.336 0.027  0.64
2 Pb 0.312 0.624 0.224  -0.02
3 Pb 0.688 0.376 0.776  -0.02
4 Pb 0.000 0.000 0.000  -0.02
5 Tm 0.045 0.089 0.775  0.14
6 Pb 0.160 0.321 0.456  0.00
7 Tm 0.955 0.911 0.225  0.14
8 Ce 0.340 0.680 0.757  0.84
9 Ce 0.500 0.000 0.500  1.02
10 Ce 0.660 0.320 0.243  0.84
11 Ce 0.332 0.664 0.973  0.64
12 Pb 0.840 0.679 0.544  0.00

Computed properties:
The symmetry is C2/m, No. 12. The calculation puts the formation energy at -0.267 eV/atom.



(5)
Computed, not measured: a relaxed structure of CeYSiS at the PBE level of DFT.

Cell lengths 4.080, 4.080, 7.057 Å; angles 73.20, 73.20, 60.00 degrees
Each line ends with the local moment (μB).
Positions (direct):
1 Y 0.693 0.693 0.920  0.00
2 S 0.946 0.946 0.162  -0.01
3 Ce 0.194 0.194 0.419  0.44
4 Si 0.444 0.444 0.669  -0.01

Computed properties:
The symmetry is R3m, No. 160. For the uncorrected formation energy, the calculation gives -1340 meV/atom.



(6)
Computed, not measured: a relaxed structure of HfTaTiVGa at the PBE level of DFT.

Cell lengths 5.871, 3.682, 10.054 Å; angles 90.00, 125.68, 90.00 degrees
Positions (direct):
1 Ti 0.338 0.000 0.981
2 Ga 0.077 0.500 0.019
3 Ga 0.077 0.000 0.519
4 Hf 0.639 0.500 0.310
5 V 0.673 0.500 0.041
6 Ta 0.065 0.000 0.221
7 Ti 0.338 0.500 0.481
8 Ta 0.065 0.500 0.721
9 Hf 0.639 0.000 0.810
10 V 0.673 0.000 0.541

Computed properties:
The symmetry is Cm, No. 8. The calculation puts the formation energy at -0.013 eV/atom. The value obtained for the offset from the most stable computed form is 177 meV per atom.